This record from Alexandria via LeMat-Bulk describes FeSn3Br after structural relaxation. The functional is PBE-GGA.

a = 5.378 Å, b = 5.378 Å, c = 5.378 Å
α = 90.00°, β = 90.00°, γ = 90.00°
Atoms (fractional coordinates):
Fe 0.000 0.000 0.000
Sn 0.000 0.500 0.500
Sn 0.500 0.000 0.500
Sn 0.500 0.500 0.000
Br 0.500 0.500 0.500

Output
- SG: Pm-3m
- Total energy: -16.3 eV/cell
- Total magnetization: 3.1 μB/cell